[1]
Compound: Ac6SnRh
Source: Alexandria via LeMat-Bulk
Functional: PBE
Structure: optimized geometry

Output
formation energy: -0.25 eV/atom
magnetization: 0.00 μB per cell

POSCAR file:
```
Ac6SnRh
1.0
7.2367 0.1186 0.0000
1.8242 8.1153 0.0000
0.9121 4.0577 5.6407
Ac Sn Rh
6 1 1
Direct
0.6529 0.7880 0.0000
0.7796 0.5409 0.6389
0.2204 0.8202 0.6389
0.2204 0.4591 0.3611
0.3471 0.2120 0.0000
0.7796 0.1798 0.3611
0.0000 0.0000 0.0000
0.5000 0.5000 0.0000
```

---

[2]
Compound: Ac6SnRh3
Source: Alexandria via LeMat-Bulk
Functional: PBE
Structure: optimized geometry

Output
formation energy: -0.61 eV/atom
magnetization: 0.00 μB per cell

POSCAR file:
```
Ac6SnRh3
1.0
4.4626 0.0000 0.0000
0.0000 11.9627 -3.7833
0.0000 -0.2012 12.8523
Ac Rh Sn
12 6 2
Direct
0.2500 0.5287 0.3891
0.2500 0.6097 0.9448
0.7500 0.7134 0.2587
0.2500 0.2048 0.2410
0.7500 0.1367 0.4681
0.7500 0.7952 0.7590
0.7500 0.4713 0.6109
0.2500 0.0783 0.9134
0.7500 0.3903 0.0552
0.2500 0.8633 0.5319
0.2500 0.2866 0.7413
0.7500 0.9217 0.0866
0.2500 0.3194 0.5074
0.2500 0.8428 0.9146
0.7500 0.4532 0.8380
0.2500 0.5468 0.1620
0.7500 0.6806 0.4926
0.7500 0.1572 0.0854
0.2500 0.9479 0.3029
0.7500 0.0521 0.6971
```

---

[3]
Compound: Ac3Sn5Rh
Source: Alexandria via LeMat-Bulk
Functional: PBE
Structure: optimized geometry

Output
formation energy: -0.66 eV/atom
magnetization: 0.00 μB per cell

POSCAR file:
```
Ac3Sn5Rh
1.0
-1.9200 0.3344 -4.2550
5.5273 -5.2178 -2.9042
-7.0517 -2.7749 2.9639
Rh Sn Ac
1 5 3
Direct
0.0000 0.0000 0.0000
0.5000 0.6667 0.3333
0.5000 0.3333 0.6667
0.5000 0.2262 0.2262
0.5000 0.7738 0.0000
0.5000 0.0000 0.7738
0.0000 0.6158 0.6158
0.0000 0.0000 0.3842
0.0000 0.3842 0.0000
```

---

[4]
Compound: AcSn3Rh
Source: Alexandria via LeMat-Bulk
Functional: PBE
Structure: optimized geometry

Output
formation energy: -0.62 eV/atom
ΔE to the lowest computed polymorph: 0.0 meV/atom
magnetization: 0.00 μB per cell

POSCAR file:
```
AcSn3Rh
1.0
6.3610 0.0000 0.0000
0.0004 6.2007 -0.0008
0.0002 0.0013 6.8253
Sn Rh Ac
6 2 2
Direct
0.4638 0.8392 0.4391
0.9638 0.5137 0.4625
0.8712 0.0694 0.7007
0.4638 0.8392 0.9625
0.3714 0.2834 0.2009
0.9637 0.5136 0.9390
0.1677 0.7832 0.7008
0.6678 0.5697 0.2008
0.9117 0.0335 0.2007
0.4115 0.3191 0.7008
```

---

[5]
Compound: AcSn4Rh
Source: Alexandria via LeMat-Bulk
Functional: PBE
Structure: optimized geometry

Output
formation energy: -0.39 eV/atom
ΔE to the lowest computed polymorph: 137.6 meV/atom
magnetization: 0.00 μB per cell

POSCAR file:
```
AcSn4Rh
1.0
6.8489 -0.0039 0.0030
-0.0040 7.5206 1.1117
-3.4380 -1.8175 6.1637
Rh Ac Sn
2 2 8
Direct
0.5000 0.0000 0.5000
0.0000 0.5000 0.5000
0.1058 0.2478 0.9963
0.8942 0.7522 0.0037
0.3577 0.6525 0.4841
0.4418 0.9121 0.1262
0.6868 0.4127 0.1238
0.8756 0.8476 0.5199
0.5582 0.0879 0.8738
0.1244 0.1524 0.4801
0.6423 0.3475 0.5159
0.3132 0.5873 0.8762
```

---

[6]
Compound: Sr2AcSn3Rh4
Source: Alexandria via LeMat-Bulk
Functional: PBE
Structure: optimized geometry

Output
formation energy: -0.60 eV/atom
magnetization: 0.00 μB per cell

POSCAR file:
```
Sr2AcSn3Rh4
1.0
-0.6999 -0.1472 4.6053
-4.1815 -1.9361 -0.6974
4.7112 -10.3144 0.3863
Sr Rh Sn Ac
2 4 3 1
Direct
0.5000 0.0000 0.2217
0.0000 0.5000 0.7783
0.0000 0.5000 0.3539
0.5000 0.0000 0.6461
0.0000 0.0000 0.0000
0.5000 0.5000 0.0000
0.0000 0.0000 0.5000
0.0000 0.5000 0.1180
0.5000 0.0000 0.8820
0.5000 0.5000 0.5000
```

---

[7]
Compound: SrAcSnRh
Source: Alexandria via LeMat-Bulk
Functional: PBE
Structure: optimized geometry

Output
formation energy: -0.37 eV/atom
ΔE to the lowest computed polymorph: 221.1 meV/atom
magnetization: 0.00 μB per cell

POSCAR file:
```
SrAcSnRh
1.0
-0.0375 5.1267 -1.9793
-1.9822 4.1123 3.0597
3.4142 3.7724 2.0771
Ac Rh Sr Sn
1 1 1 1
Direct
0.5000 0.5000 0.5000
0.7500 0.7500 0.7500
0.0000 0.0000 0.0000
0.2500 0.2500 0.2500
```

---

[8]
Compound: SrAcSnRh
Source: Alexandria via LeMat-Bulk
Functional: PBE
Structure: optimized geometry

Output
formation energy: -0.59 eV/atom
ΔE to the lowest computed polymorph: 0.0 meV/atom
magnetization: 0.00 μB per cell

POSCAR file:
```
SrAcSnRh
1.0
-3.6339 -0.5625 -3.0395
1.4918 -3.6096 -1.1155
-1.5409 -2.5067 6.0503
Rh Ac Sn Sr
1 1 1 1
Direct
0.4155 0.0000 0.8310
0.8666 0.5000 0.7331
0.5632 0.5000 0.1264
0.1548 0.0000 0.3095
```

---

[9]
Compound: AcTbSnRh
Source: Alexandria via LeMat-Bulk
Functional: PBE
Structure: optimized geometry

Output
formation energy: -0.49 eV/atom
magnetization: 0.00 μB per cell

POSCAR file:
```
AcTbSnRh
1.0
5.3518 0.0000 0.0000
2.6759 4.6348 0.0000
2.6759 1.5449 4.3697
Sn Tb Rh Ac
1 1 1 1
Direct
0.2500 0.2500 0.2500
0.0000 0.0000 0.0000
0.7500 0.7500 0.7500
0.5000 0.5000 0.5000
```

---

[10]
Compound: Ac2TbSn3Rh4
Source: Alexandria via LeMat-Bulk
Functional: PBE
Structure: optimized geometry

Output
formation energy: -0.78 eV/atom
magnetization: 0.00 μB per cell

POSCAR file:
```
Ac2TbSn3Rh4
1.0
4.5144 0.0000 0.0000
0.0000 4.5144 0.0000
0.0000 0.0000 11.5591
Rh Ac Sn Tb
4 2 3 1
Direct
0.0000 0.5000 0.3536
0.0000 0.0000 0.0000
0.5000 0.5000 0.0000
0.5000 0.0000 0.6464
0.5000 0.0000 0.2373
0.0000 0.5000 0.7627
0.0000 0.0000 0.5000
0.5000 0.0000 0.8776
0.0000 0.5000 0.1224
0.5000 0.5000 0.5000
```

---

[11]
Compound: AcThSn2Rh5
Source: Alexandria via LeMat-Bulk
Functional: PBE
Structure: optimized geometry

Output
formation energy: -0.46 eV/atom
magnetization: 0.00 μB per cell

POSCAR file:
```
AcThSn2Rh5
1.0
4.5139 0.0000 0.0000
0.0000 4.5139 0.0000
0.0000 0.0000 9.1772
Ac Sn Rh Th
1 2 5 1
Direct
0.0000 0.0000 0.5000
0.5000 0.5000 0.1513
0.5000 0.5000 0.8487
0.5000 0.0000 0.2761
0.5000 0.0000 0.7239
0.0000 0.5000 0.2761
0.0000 0.5000 0.7239
0.5000 0.5000 0.5000
0.0000 0.0000 0.0000
```

---

[12]
Compound: Ac2ThSn3Rh4
Source: Alexandria via LeMat-Bulk
Functional: PBE
Structure: optimized geometry

Output
formation energy: -0.78 eV/atom
magnetization: 0.00 μB per cell

POSCAR file:
```
Ac2ThSn3Rh4
1.0
4.6511 0.0000 0.0000
0.0000 4.6511 0.0000
0.0000 0.0000 11.1919
Ac Sn Rh Th
2 3 4 1
Direct
0.0000 0.5000 0.7736
0.5000 0.0000 0.2264
0.0000 0.0000 0.5000
0.0000 0.5000 0.1214
0.5000 0.0000 0.8786
0.0000 0.0000 0.0000
0.0000 0.5000 0.3593
0.5000 0.5000 0.0000
0.5000 0.0000 0.6407
0.5000 0.5000 0.5000
```

---

[13]
Compound: Ac2TlSnRh
Source: Alexandria via LeMat-Bulk
Functional: PBE
Structure: optimized geometry

Output
formation energy: -0.56 eV/atom
magnetization: 0.00 μB per cell

POSCAR file:
```
Ac2TlSnRh
1.0
4.4848 0.0000 0.0000
0.0000 8.6399 -0.9039
0.0000 -4.6761 8.6621
Tl Ac Rh Sn
2 4 2 2
Direct
0.2500 0.8129 0.4052
0.7500 0.1871 0.5948
0.7500 0.7604 0.0846
0.2500 0.2373 0.3245
0.7500 0.7627 0.6755
0.2500 0.2396 0.9154
0.7500 0.1092 0.0551
0.2500 0.8908 0.9449
0.2500 0.5101 0.7542
0.7500 0.4899 0.2458
```

---

[14]
Compound: Ac2TmSn4Rh3
Source: Alexandria via LeMat-Bulk
Functional: PBE
Structure: optimized geometry

Output
formation energy: -0.70 eV/atom
magnetization: 0.00 μB per cell

POSCAR file:
```
Ac2TmSn4Rh3
1.0
4.5289 0.0000 0.0000
0.0000 4.5289 0.0000
0.0000 0.0000 12.0901
Ac Rh Sn Tm
2 3 4 1
Direct
0.0000 0.5000 0.7680
0.5000 0.0000 0.2320
0.0000 0.5000 0.1223
0.0000 0.0000 0.5000
0.5000 0.0000 0.8777
0.0000 0.0000 0.0000
0.5000 0.0000 0.6573
0.5000 0.5000 0.0000
0.0000 0.5000 0.3427
0.5000 0.5000 0.5000
```

---

[15]
Compound: Ac2YSn3Rh4
Source: Alexandria via LeMat-Bulk
Functional: PBE
Structure: optimized geometry

Output
formation energy: -0.78 eV/atom
magnetization: 0.00 μB per cell

POSCAR file:
```
Ac2YSn3Rh4
1.0
4.5059 0.0000 0.0000
0.0000 4.5059 0.0000
0.0000 0.0000 11.5979
Sn Ac Rh Y
3 2 4 1
Direct
0.0000 0.5000 0.1222
0.0000 0.0000 0.5000
0.5000 0.0000 0.8778
0.5000 0.0000 0.2375
0.0000 0.5000 0.7625
0.5000 0.0000 0.6474
0.5000 0.5000 0.0000
0.0000 0.0000 0.0000
0.0000 0.5000 0.3526
0.5000 0.5000 0.5000
```

---

[16]
Compound: Ac2YSn4Rh3
Source: Alexandria via LeMat-Bulk
Functional: PBE
Structure: optimized geometry

Output
formation energy: -0.70 eV/atom
magnetization: 0.00 μB per cell

POSCAR file:
```
Ac2YSn4Rh3
1.0
-0.9560 -0.5139 4.4071
1.3493 -4.3283 -0.2120
11.3182 3.3888 2.8504
Ac Sn Y Rh
2 4 1 3
Direct
0.5000 0.0000 0.2301
0.0000 0.5000 0.7699
0.5000 0.0000 0.6598
0.0000 0.0000 0.0000
0.5000 0.5000 0.0000
0.0000 0.5000 0.3402
0.5000 0.5000 0.5000
0.5000 0.0000 0.8788
0.0000 0.0000 0.5000
0.0000 0.5000 0.1212
```

---

[17]
Compound: Ac2ZnSn4Rh3
Source: Alexandria via LeMat-Bulk
Functional: PBE
Structure: optimized geometry

Output
formation energy: -0.67 eV/atom
magnetization: 0.00 μB per cell

POSCAR file:
```
Ac2ZnSn4Rh3
1.0
-3.9264 -1.6008 -1.8707
2.4426 -2.0892 -3.3389
0.7286 -8.9655 6.1429
Rh Ac Zn Sn
3 2 1 4
Direct
0.0000 0.0000 0.5000
0.5000 0.0000 0.8738
0.0000 0.5000 0.1262
0.0000 0.5000 0.7478
0.5000 0.0000 0.2522
0.5000 0.5000 0.5000
0.0000 0.0000 0.0000
0.5000 0.5000 0.0000
0.5000 0.0000 0.6317
0.0000 0.5000 0.3683
```

---

[18]
Compound: AcZnSnRh3
Source: Alexandria via LeMat-Bulk
Functional: PBE
Structure: optimized geometry

Output
formation energy: -0.36 eV/atom
magnetization: 0.00 μB per cell

POSCAR file:
```
AcZnSnRh3
1.0
6.4300 0.0000 0.0000
0.0000 6.2708 0.0000
0.0000 -3.1354 6.1777
Rh Ac Sn Zn
6 2 2 2
Direct
0.0000 0.7241 0.0000
0.5000 0.7241 0.0000
0.5000 0.2759 0.0000
0.7500 0.8417 0.6835
0.2500 0.1583 0.3165
0.0000 0.2759 0.0000
0.7500 0.3060 0.6120
0.2500 0.6940 0.3880
0.7500 0.6327 0.2654
0.2500 0.3673 0.7346
0.7500 0.0552 0.1105
0.2500 0.9448 0.8895
```

---

[19]
Compound: Ac2ZnSn3Rh4
Source: Alexandria via LeMat-Bulk
Functional: PBE
Structure: optimized geometry

Output
formation energy: -0.69 eV/atom
magnetization: 0.00 μB per cell

POSCAR file:
```
Ac2ZnSn3Rh4
1.0
-0.2946 -3.1227 3.2258
1.7646 -3.0531 -2.7944
10.1016 2.6480 3.4858
Ac Rh Zn Sn
2 4 1 3
Direct
0.0000 0.5000 0.7458
0.5000 0.0000 0.2542
0.5000 0.5000 0.0000
0.0000 0.0000 0.0000
0.5000 0.0000 0.6298
0.0000 0.5000 0.3702
0.5000 0.5000 0.5000
0.5000 0.0000 0.8721
0.0000 0.5000 0.1279
0.0000 0.0000 0.5000
```

---

[20]
Compound: Ac2Zn2SnRh5
Source: Alexandria via LeMat-Bulk
Functional: PBE
Structure: optimized geometry

Output
formation energy: -0.55 eV/atom
magnetization: 0.00 μB per cell

POSCAR file:
```
Ac2Zn2SnRh5
1.0
3.7117 0.0000 0.0000
0.0000 10.1026 0.0000
0.0000 0.0000 10.1026
Sn Rh Zn Ac
2 10 4 4
Direct
0.0000 0.5000 0.5000
0.0000 0.0000 0.0000
0.5000 0.5000 0.0000
0.5000 0.7926 0.9362
0.5000 0.9362 0.2074
0.5000 0.4362 0.2926
0.5000 0.0638 0.7926
0.5000 0.7074 0.4362
0.5000 0.2926 0.5638
0.5000 0.5638 0.7074
0.5000 0.2074 0.0638
0.5000 0.0000 0.5000
0.0000 0.6211 0.8789
0.0000 0.8789 0.3789
0.0000 0.3789 0.1211
0.0000 0.1211 0.6211
0.0000 0.8233 0.6767
0.0000 0.1767 0.3233
0.0000 0.6767 0.1767
0.0000 0.3233 0.8233
```